CrP2F after structural relaxation, computed with PBE+U.

- polymorph energy (0 for the lowest one) (meV per atom) = 0.0
- SG = No. 122

Cell lengths 3.3934, 3.3934, 21.1911 Å; angles 90.00, 90.00, 90.00 degrees
Atoms (fractional coordinates):
1 Cr 0.0000 0.0000 0.0000
2 Cr 0.0000 0.5000 0.2500
3 Cr 0.5000 0.0000 0.7500
4 Cr 0.5000 0.5000 0.5000
5 P 0.2105 0.2500 0.1250
6 P 0.2500 0.7105 0.3750
7 P 0.2500 0.7895 0.8750
8 P 0.2895 0.2500 0.6250
9 P 0.7105 0.7500 0.6250
10 P 0.7500 0.2105 0.8750
11 P 0.7500 0.2895 0.3750
12 P 0.7895 0.7500 0.1250
13 F 0.0000 0.0000 0.5000
14 F 0.0000 0.5000 0.7500
15 F 0.5000 0.0000 0.2500
16 F 0.5000 0.5000 0.0000